Entry 1:
# TbPrTlBi, optimized geometry, DFT GGA-PBE
# Energy   -4.36 eV per atom
# Fermi-level density of states   1.094 states/eV/atom
data_TbPrTlBi
_chemical_formula_sum 'Tb4 Pr4 Tl4 Bi4'
_symmetry_space_group_name_H-M 'F -4 3 m'
_symmetry_Int_Tables_number 216
_symmetry_space_group_name_Hall 'F -4 2 3'
_cell_length_a 7.8364
_cell_length_b 7.8364
_cell_length_c 7.8364
_cell_angle_alpha 90.00
_cell_angle_beta 90.00
_cell_angle_gamma 90.00
loop_
_atom_site_label
_atom_site_fract_x
_atom_site_fract_y
_atom_site_fract_z
Tb1 0.0000 0.0000 0.0000
Pr1 0.0000 0.0000 0.5000
Tl1 0.2500 0.2500 0.2500
Bi1 0.2500 0.2500 0.7500

Entry 2:
# TbPrTm2Bi4, optimized geometry, DFT GGA-PBE
# Energy   -5.08 eV per atom
# Fermi-level density of states   0.155 states/eV/atom
data_TbPrTm2Bi4
_chemical_formula_sum 'Tb1 Pr1 Tm2 Bi4'
_symmetry_space_group_name_H-M 'P 1 2/m 1'
_symmetry_Int_Tables_number 10
_cell_length_a 7.7895
_cell_length_b 4.5077
_cell_length_c 7.8001
_cell_angle_alpha 90.00
_cell_angle_beta 109.51
_cell_angle_gamma 90.00
loop_
_symmetry_equiv_pos_as_xyz
'x,y,z'
'-x,-y,-z'
'-x,y,-z'
'x,-y,z'
loop_
_atom_site_label
_atom_site_fract_x
_atom_site_fract_y
_atom_site_fract_z
Tb1 0.0000 0.0000 0.0000
Pr1 0.0000 0.5000 0.5000
Tm1 0.5000 0.0000 0.5000
Tm2 0.5000 0.5000 0.0000
Bi1 0.2577 0.5000 0.2482
Bi2 0.2608 0.0000 0.7580

Entry 3:
# Tb3PrTm2Bi6, optimized geometry, DFT GGA-PBE
# Energy   -5.10 eV per atom
# Fermi-level density of states   0.168 states/eV/atom
data_Tb3PrTm2Bi6
_chemical_formula_sum 'Tb6 Pr2 Tm4 Bi12'
_symmetry_space_group_name_H-M 'C 1 2/m 1'
_symmetry_Int_Tables_number 12
_cell_length_a 19.6052
_cell_length_b 4.5000
_cell_length_c 8.9982
_cell_angle_alpha 90.00
_cell_angle_beta 103.26
_cell_angle_gamma 90.00
loop_
_symmetry_equiv_pos_as_xyz
'x,y,z'
'-x,-y,-z'
'-x,y,-z'
'x,-y,z'
'x+1/2,y+1/2,z'
'-x+1/2,-y+1/2,-z'
'-x+1/2,y+1/2,-z'
'x+1/2,-y+1/2,z'
loop_
_atom_site_label
_atom_site_fract_x
_atom_site_fract_y
_atom_site_fract_z
Tb1 0.0000 0.0000 0.0000
Tb2 0.1648 0.5000 0.3320
Pr1 0.0000 0.0000 0.5000
Tm1 0.1677 0.5000 0.8338
Bi1 0.0021 0.5000 0.7578
Bi2 0.1675 0.0000 0.0805
Bi3 0.1698 0.0000 0.5877

Entry 4:
# Tb3Pr2TmBi6, optimized geometry, DFT GGA-PBE
# Energy   -5.15 eV per atom
# Fermi-level density of states   0.170 states/eV/atom
data_Tb3Pr2TmBi6
_chemical_formula_sum 'Tb6 Pr4 Tm2 Bi12'
_symmetry_space_group_name_H-M 'C 1 2/m 1'
_symmetry_Int_Tables_number 12
_cell_length_a 19.7555
_cell_length_b 4.5360
_cell_length_c 9.0663
_cell_angle_alpha 90.00
_cell_angle_beta 103.26
_cell_angle_gamma 90.00
loop_
_symmetry_equiv_pos_as_xyz
'x,y,z'
'-x,-y,-z'
'-x,y,-z'
'x,-y,z'
'x+1/2,y+1/2,z'
'-x+1/2,-y+1/2,-z'
'-x+1/2,y+1/2,-z'
'x+1/2,-y+1/2,z'
loop_
_atom_site_label
_atom_site_fract_x
_atom_site_fract_y
_atom_site_fract_z
Tb1 0.0000 0.0000 0.0000
Tb2 0.1688 0.5000 0.3340
Pr1 0.1654 0.5000 0.8320
Tm1 0.0000 0.0000 0.5000
Bi1 0.0035 0.5000 0.2550
Bi2 0.1648 0.0000 0.0885
Bi3 0.1647 0.0000 0.5752